1.
DFT (GGA-PBE) results for AlFeBr after structural relaxation.

The structure in POSCAR format:
```
AlFeBr
1.0
6.2225 0.0449 -0.0463
5.4059 3.0819 0.0174
0.8165 0.1556 3.0337
Al Br Fe
1 1 1
Cartesian
1.3041 0.2896 2.8956
4.0580 1.0464 2.1155
7.8994 2.1020 1.0274
```

Output
E above lowest polymorph in meV per atom: 75
SG: I4mm (107)

***

2.
DFT (GGA-PBE) results for AlFeBr after structural relaxation.

The structure in POSCAR format:
```
AlFeBr
1.0
4.3555 0.0000 0.0000
-2.1777 3.7719 0.0000
0.0000 0.0000 3.1112
Fe Al Br
1 1 1
Cartesian
0.0000 2.5146 1.5566
0.0000 0.0000 3.1099
2.1777 1.2573 1.5559
```

Output
E above lowest polymorph in meV per atom: 324
SG: P-6m2 (187)

***

3.
DFT (GGA-PBE) results for AlFe3Br after structural relaxation.

The structure in POSCAR format:
```
AlFe3Br
1.0
4.5262 0.0000 0.0000
0.0000 4.5262 0.0000
0.0000 0.0000 4.5262
Fe Br Al
3 1 1
Cartesian
0.0000 0.0000 2.2631
2.2631 0.0000 0.0000
0.0000 2.2631 0.0000
2.2631 2.2631 2.2631
0.0000 0.0000 0.0000
```

Output
Raw total energy in Ha/atom: -0.18323
SG: Pm-3m (221)

***

4.
DFT (GGA-PBE) results for AlFeBr after structural relaxation.

The structure in POSCAR format:
```
AlFeBr
1.0
-1.6372 2.4151 -1.5514
-1.6441 -2.1783 1.8632
0.6679 3.3396 4.4938
Al Fe Br
1 1 1
Cartesian
0.6388 3.1941 4.2979
-1.1891 1.6161 3.7705
-1.3951 2.1058 1.2310
```

Output
E above lowest polymorph in meV per atom: 0
SG: P3m1 (156)

***

5.
DFT (GGA-PBE) results for AlFeBr4 after structural relaxation.

The structure in POSCAR format:
```
AlFeBr4
1.0
-3.1420 -2.9581 4.6798
-6.2768 -0.9446 -0.4817
-2.2738 -5.8756 -0.9111
Br Fe Al
4 1 1
Cartesian
-5.9552 -5.1448 3.5643
-5.5230 -6.5973 0.7808
-7.5160 -4.1424 0.9945
-4.3909 -3.6721 1.2344
-8.7694 -7.3337 2.4652
0.0000 0.0000 0.0000
```

Output
Raw total energy in Ha/atom: -0.08070
SG: F-43m (216)

***

6.
DFT (GGA-PBE) results for AlFeBr after structural relaxation.

The structure in POSCAR format:
```
AlFeBr
1.0
-1.7791 2.1193 -3.5465
-4.3484 1.1514 0.0167
-1.1792 4.3288 0.3256
Fe Br Al
1 1 1
Cartesian
-3.6534 3.7997 -1.6021
0.0000 0.0000 0.0000
-5.4801 5.6996 -2.4032
```

Output
E above lowest polymorph in meV per atom: 665
SG: F-43m (216)

***

7.
DFT (GGA-PBE) results for AlFe4Br after structural relaxation.

The structure in POSCAR format:
```
AlFe4Br
1.0
0.2472 -3.4050 3.6589
0.4183 1.4727 4.7644
-3.8497 -0.5776 3.1447
Fe Br Al
4 1 1
Cartesian
-1.0783 -2.6230 6.1617
-0.9940 -0.2207 6.7062
-3.0961 -1.2305 5.9085
-1.2001 -0.9460 4.3597
0.0000 0.0000 0.0000
-2.3882 -1.8825 8.6760
```

Output
Raw total energy in Ha/atom: -0.22333
SG: F-43m (216)

***

8.
DFT (GGA-PBE) results for AlFeBr after structural relaxation.

The structure in POSCAR format:
```
AlFeBr
1.0
-1.2264 -2.0810 -3.4752
-1.8304 -3.8003 0.3446
-4.1208 -0.4492 -0.8539
Br Al Fe
1 1 1
Cartesian
-3.5888 -3.1653 -1.9922
0.0000 0.0000 0.0000
-5.3832 -4.7480 -2.9884
```

Output
E above lowest polymorph in meV per atom: 420
SG: F-43m (216)